Dy4TmRh2 after structural relaxation. Source: Alexandria via LeMat-Bulk, functional GGA-PBE.

abc: 7.8089 6.3280 7.8510
angles: 90.00 112.66 90.00
Space group P2_1/m (No. 11)
Inequivalent atoms, fractional coordinates:
Dy: 0.0184 0.2500 0.3825 x2
Dy: 0.2456 0.7500 0.3348 x2
Dy: 0.4117 0.0028 0.7642 x4
Tm: 0.1588 0.2500 0.0292 x2
Rh: 0.2470 0.7500 0.9887 x2
Rh: 0.3746 0.2500 0.4105 x2

Properties
* E_form: -46.54 kJ/mol of atoms
* calculated volume: 25.57 Å³/atom
* total DFT energy (no corrections): -5.851 eV per atom